DFT (PBE) results for a geometry-optimized LiBeCdPd structure.

Summary:
**Calculated formation energy**: -0.99 eV per formula unit

```
data_LiBeCdPd
_symmetry_space_group_name_H-M 'F -4 3 m'
_symmetry_Int_Tables_number 216
_symmetry_space_group_name_Hall 'F -4 2 3'
_cell_length_a 6.019
_cell_length_b 6.019
_cell_length_c 6.019
_cell_angle_alpha 90.00
_cell_angle_beta 90.00
_cell_angle_gamma 90.00
loop_
_atom_site_label
_atom_site_type_symbol
_atom_site_fract_x
_atom_site_fract_y
_atom_site_fract_z
Li1 Li 0.000 0.000 0.000
Be1 Be 0.000 0.000 0.500
Cd1 Cd 0.250 0.250 0.750
Pd1 Pd 0.250 0.250 0.250
```